(1)
## KCaTc2 (PBEsol)

Data for a relaxed structure of KCaTc2.

Summary:
* ΔE to the lowest computed polymorph: 617 meV per atom

```
16
Lattice="6.7297 0.0000 0.0000 0.0000 6.7297 0.0000 0.0000 0.0000 6.7297" Properties=species:S:1:pos:R:3 pbc="T T T"
K 0.0000 0.0000 0.0000
K 0.0000 3.3649 3.3649
K 3.3649 0.0000 3.3649
K 3.3649 3.3649 0.0000
Ca 1.6824 1.6824 1.6824
Ca 1.6824 5.0473 5.0473
Ca 5.0473 1.6824 5.0473
Ca 5.0473 5.0473 1.6824
Tc 0.0000 0.0000 3.3649
Tc 0.0000 3.3649 0.0000
Tc 1.6824 1.6824 5.0473
Tc 1.6824 5.0473 1.6824
Tc 3.3649 0.0000 0.0000
Tc 3.3649 3.3649 3.3649
Tc 5.0473 1.6824 1.6824
Tc 5.0473 5.0473 5.0473
```

(2)
## KCaTc2 (PBEsol)

Data for a relaxed structure of KCaTc2.

Summary:
* ΔE to the lowest computed polymorph: 512 meV per atom

```
8
Lattice="3.7314 0.0000 0.0000 0.0000 3.7314 0.0000 0.0000 0.0000 10.6307" Properties=species:S:1:pos:R:3 pbc="T T T"
K 0.0000 0.0000 0.0000
K 1.8657 1.8657 5.3153
Ca 0.0000 0.0000 5.3153
Ca 1.8657 1.8657 0.0000
Tc 0.0000 1.8657 2.6577
Tc 0.0000 1.8657 7.9730
Tc 1.8657 0.0000 2.6577
Tc 1.8657 0.0000 7.9730
```

(3)
## K2CaTe (PBEsol)

Data for a relaxed structure of K2CaTe.

Summary:
* energy relative to the elements, uncorrected: -0.340 eV per atom

```
8
Lattice="5.2453 0.0000 0.0000 0.0000 5.2453 0.0000 0.0000 0.0000 11.0558" Properties=species:S:1:pos:R:3 pbc="T T T"
K 0.0000 0.0000 0.0000
K 0.0000 2.6227 2.7640
K 2.6227 0.0000 8.2919
K 2.6227 2.6227 5.5279
Ca 0.0000 2.6227 8.2919
Ca 2.6227 0.0000 2.7640
Te 0.0000 0.0000 5.5279
Te 2.6227 2.6227 0.0000
```

(4)
## K8CaTe6 (PBEsol)

Data for a relaxed structure of K8CaTe6.

Summary:
* energy relative to the elements, uncorrected: -1.028 eV per atom

```
15
Lattice="-6.6775 6.6775 3.0287 6.6775 -6.6775 3.0287 6.6775 6.6775 -3.0287" Properties=species:S:1:pos:R:3 pbc="T T T"
K 5.4937 -3.0102 1.4279
K 9.6877 -1.1838 1.6007
K 3.6673 1.1838 1.6007
K 7.8614 3.0102 1.4279
K 1.1838 3.6673 1.6007
K -3.0102 5.4937 1.4279
K 3.0102 7.8614 1.4279
K -1.1838 9.6877 1.6007
Ca 0.0000 0.0000 0.0000
Te 6.6775 0.0000 0.0000
Te 1.9767 -1.9767 1.3758
Te -1.9767 1.9767 1.3758
Te 0.0000 6.6775 0.0000
Te 4.7008 4.7008 1.6528
Te 1.9767 1.9767 4.6815
```

(5)
## KCaY2Te (PBEsol)

Data for a relaxed structure of KCaY2Te.

Summary:
* energy relative to the elements, uncorrected: 0.487 eV per atom

```
5
Lattice="5.8207 0.0000 0.0000 0.0000 5.8207 0.0000 0.0000 0.0000 5.7713" Properties=species:S:1:pos:R:3 pbc="T T T"
K 0.0000 0.0000 0.0000
Ca 2.9104 2.9104 2.8856
Y 0.0000 2.9104 2.8856
Y 2.9104 0.0000 2.8856
Te 2.9104 2.9104 0.0000
```

(6)
## KCaTl2 (PBEsol)

Data for a relaxed structure of KCaTl2.

Summary:
* uncorrected energy: -2.24 eV per atom

```
12
Lattice="3.7257 0.0000 0.0000 -1.8628 3.2265 0.0000 0.0000 0.0000 32.5269" Properties=species:S:1:pos:R:3 pbc="T T T"
K 0.0000 0.0000 0.0000
K 0.0000 2.1510 21.6846
K 1.8628 1.0755 10.8423
Ca 0.0000 0.0000 16.2635
Ca 0.0000 2.1510 5.4212
Ca 1.8628 1.0755 27.1058
Tl 0.0000 0.0000 7.9102
Tl 0.0000 0.0000 24.6167
Tl 0.0000 2.1510 13.7744
Tl 0.0000 2.1510 29.5948
Tl 1.8628 1.0755 2.9321
Tl 1.8628 1.0755 18.7526
```

Total magnetization / μB per cell: 0.0; 0.0; 1.8; 0.0; 0.0; 0.0